Sr2LiAs | meta-GGA SCAN | PBEsol geometry

Cell and atoms, written as CIF:
```
data_Sr2LiAs
_chemical_formula_sum 'Sr4 Li2 As2'
_symmetry_space_group_name_H-M 'P 1'
_symmetry_Int_Tables_number 1
_cell_length_a 7.227
_cell_length_b 7.227
_cell_length_c 7.227
_cell_angle_alpha 105.66
_cell_angle_beta 105.66
_cell_angle_gamma 117.39
loop_
_symmetry_equiv_pos_as_xyz
'x,y,z'
loop_
_atom_site_label
_atom_site_fract_x
_atom_site_fract_y
_atom_site_fract_z
_atom_site_occupancy
Sr1 0.625 0.076 0.951 1
As1 0.000 0.000 0.000 1
Sr2 0.125 0.674 0.049 1
As2 0.250 0.750 0.500 1
Li1 0.500 0.500 0.000 1
Sr3 0.924 0.875 0.549 1
Li2 0.750 0.250 0.500 1
Sr4 0.326 0.375 0.451 1
```

Output
* ΔE_f: -0.396 eV/atom
* space-group type: I-42d (122)
* total magnetization: 0.9 μB/cell